Model 1:
Density functional theory data (GGA-PBE) for KPC3 after structural relaxation.

It has space group Pm-3m (No. 221), with a = 5.009 Å, b = 5.009 Å, c = 5.009 Å, α = 90.00°, β = 90.00° and γ = 90.00°. The asymmetric unit holds K at (0.000, 0.000, 0.000), P at (0.500, 0.500, 0.500) and C at (0.000, 0.000, 0.500).

The value obtained for the density of states at the Fermi level is 7.41 states/eV/f.u. The crystal system is cubic.


Model 2:
Density functional theory data (GGA-PBE) for KPC3 after structural relaxation.

It has space group Pm-3m (No. 221), with a = 3.803 Å, b = 3.803 Å, c = 3.803 Å, α = 90.00°, β = 90.00° and γ = 90.00°. The asymmetric unit holds K at (0.000, 0.000, 0.000), P at (0.500, 0.500, 0.500) and C at (0.000, 0.500, 0.500).

The value obtained for the density of states at the Fermi level is 1.66 states/eV/f.u. The crystal system is cubic.


Q: Which of them is the most stable? A: model 2.


Model 1:
Density functional theory data (GGA-PBE) for K2PbC after structural relaxation.

It has space group Fm-3m (No. 225), with a = 7.806 Å, b = 7.806 Å, c = 7.806 Å, α = 90.00°, β = 90.00° and γ = 90.00°. The asymmetric unit holds K at (0.250, 0.250, 0.250), Pb at (0.000, 0.000, 0.000) and C at (0.000, 0.000, 0.500).

The value obtained for the density of states at the Fermi level is 0.95 states/eV/f.u. The crystal system is cubic.


Model 2:
Density functional theory data (GGA-PBE) for K2PbC after structural relaxation.

It has space group I-42d (No. 122), with a = 11.659 Å, b = 11.659 Å, c = 4.720 Å, α = 90.00°, β = 90.00° and γ = 90.00°. The asymmetric unit holds K at (0.068, 0.250, 0.125), Pb at (0.000, 0.000, 0.500) and C at (0.000, 0.000, 0.000).

The value obtained for the density of states at the Fermi level is 0.85 states/eV/f.u. The crystal system is tetragonal.


Q: Which of them is the most stable? A: model 2.